{
  "formula": "Nd3P2S",
  "functional": "GGA-PBE",
  "state": "optimized geometry",
  "final_energy_ry_per_atom": -0.487,
  "polymorph_energy_mev_per_atom": 8,
  "m_tot_mub_per_cell": 0.00,
  "lattice_angstrom": [[4.1383, 0.0000, 0.0000], [-2.0691, 3.5839, 0.0000], [0.0000, 0.0000, 10.1431]],
  "species": ["Nd", "Nd", "Nd", "P", "P", "S"],
  "fractional_positions": [[0.0000, 0.0000, 0.0000], [0.3333, 0.6667, 0.3262], [0.6667, 0.3333, 0.6738], [0.6667, 0.3333, 0.1695], [0.3333, 0.6667, 0.8305], [0.0000, 0.0000, 0.5000]]
}

---

{
  "formula": "KDyPO",
  "functional": "GGA-PBE",
  "state": "optimized geometry",
  "final_energy_ry_per_atom": -0.398,
  "polymorph_energy_mev_per_atom": 109,
  "m_tot_mub_per_cell": 0.01,
  "lattice_angstrom": [[3.9916, 0.0000, 0.0000], [0.0000, 3.9916, 0.0000], [0.0000, 0.0000, 10.5560]],
  "species": ["Dy", "Dy", "K", "K", "O", "O", "P", "P"],
  "fractional_positions": [[0.0000, 0.0000, 0.1000], [0.5000, 0.5000, 0.9000], [0.5000, 0.0000, 0.5000], [0.0000, 0.5000, 0.5000], [0.5000, 0.0000, 0.0000], [0.0000, 0.5000, 0.0000], [0.5000, 0.5000, 0.2722], [0.0000, 0.0000, 0.7278]]
}

---

{
  "formula": "SmHoHg6",
  "functional": "GGA-PBE",
  "state": "optimized geometry",
  "final_energy_ry_per_atom": -0.128,
  "formation_energy_ev_per_atom": -0.358,
  "m_tot_mub_per_cell": 0.01,
  "lattice_angstrom": [[6.6529, 0.0000, 0.0000], [-3.3264, 5.7616, 0.0000], [0.0000, 0.0000, 4.9943]],
  "species": ["Hg", "Hg", "Hg", "Hg", "Hg", "Hg", "Ho", "Sm"],
  "fractional_positions": [[0.5031, 0.0061, 0.0000], [0.9938, 0.4969, 0.0000], [0.5031, 0.4969, 0.0000], [0.3313, 0.1656, 0.5000], [0.8344, 0.1656, 0.5000], [0.8344, 0.6687, 0.5000], [0.0000, 0.0000, 0.0000], [0.3333, 0.6667, 0.5000]]
}

---

{
  "formula": "AlInAu",
  "functional": "GGA-PBE",
  "state": "optimized geometry",
  "final_energy_ry_per_atom": -0.231,
  "lattice_angstrom": [[0.0000, 3.2425, 3.2425], [3.2425, 0.0000, 3.2425], [3.2425, 3.2425, 0.0000]],
  "species": ["Al", "Au", "In"],
  "fractional_positions": [[0.2500, 0.2500, 0.2500], [0.7500, 0.7500, 0.7500], [0.0000, 0.0000, 0.0000]]
}

---

{
  "formula": "Pu4C2Br5",
  "functional": "GGA-PBE",
  "state": "optimized geometry",
  "final_energy_ry_per_atom": -0.640,
  "m_tot_mub_per_cell": 21.00,
  "lattice_angstrom": [[9.3243, -1.9156, 0.0000], [9.3243, 1.9156, 0.0000], [-1.6810, 0.0000, 7.9255]],
  "species": ["Br", "Br", "Br", "Br", "Br", "C", "C", "Pu", "Pu", "Pu", "Pu"],
  "fractional_positions": [[0.8333, 0.8333, 0.1911], [0.1613, 0.1613, 0.3475], [0.5000, 0.5000, 0.5000], [0.8387, 0.8387, 0.6525], [0.1667, 0.1667, 0.8089], [0.5395, 0.5395, 0.0184], [0.4605, 0.4605, 0.9816], [0.6615, 0.6615, 0.0802], [0.0002, 0.0002, 0.1954], [0.9998, 0.9998, 0.8046], [0.3385, 0.3385, 0.9198]]
}

---

{
  "formula": "UCl",
  "functional": "GGA-PBE",
  "state": "optimized geometry",
  "final_energy_ry_per_atom": -0.518,
  "m_tot_mub_per_cell": 2.87,
  "lattice_angstrom": [[0.8982, -3.2351, 1.8989], [-2.7988, -2.2511, 1.4064], [-0.7008, -3.4365, -1.6055]],
  "species": ["Cl", "U"],
  "fractional_positions": [[0.0000, 0.0000, 0.0000], [0.5000, 0.5000, 0.5000]]
}

---

Which formula does entry 6 have? UCl